1.
Below is crystalline LaPaAsC at its relaxed geometry, with properties calculated at the PBE level. Values from VASP.

Summary:
* symmetry: R-3m

```
&SYSTEM
  ibrav = 0, nat = 8, ntyp = 4
/
ATOMIC_SPECIES
As 74.92 As.upf
C 12.01 C.upf
La 138.91 La.upf
Pa 231.04 Pa.upf
CELL_PARAMETERS angstrom
4.078 0.000 0.000
2.039 3.532 0.000
2.039 1.177 13.877
ATOMIC_POSITIONS angstrom
As 6.118 3.532 3.411
As 2.039 1.177 10.466
C 6.118 3.532 12.979
C 2.039 1.177 0.898
La 2.039 1.177 5.104
La 6.118 3.532 8.773
Pa 4.078 2.355 12.472
Pa 4.078 2.355 1.405
```

=====

2.
Below is crystalline TlMo2Pt at its relaxed geometry, with properties calculated at the PBE level. Values from VASP.

Summary:
* E above lowest polymorph: 7.2 kJ per mole of atoms
* symmetry: Pmmm

```
&SYSTEM
  ibrav = 0, nat = 4, ntyp = 3
/
ATOMIC_SPECIES
Pt 195.08 Pt.upf
Mo 95.94 Mo.upf
Tl 204.38 Tl.upf
CELL_PARAMETERS angstrom
3.925 0.000 0.000
0.000 3.914 0.000
0.000 0.000 4.475
ATOMIC_POSITIONS angstrom
Pt 1.963 0.000 2.238
Mo 1.963 1.957 0.000
Mo 0.000 0.000 0.000
Tl 0.000 1.957 2.238
```

=====

3.
Below is crystalline LiLu2Mn at its relaxed geometry, with properties calculated at the PBE level. Values from VASP.

Summary:
* E above lowest polymorph: 0.0 kJ per mole of atoms
* symmetry: P4/mmm

```
&SYSTEM
  ibrav = 0, nat = 4, ntyp = 3
/
ATOMIC_SPECIES
Li 6.94 Li.upf
Lu 174.97 Lu.upf
Mn 54.94 Mn.upf
CELL_PARAMETERS angstrom
-1.992 2.283 -1.451
-1.728 0.312 2.864
4.914 5.772 2.338
ATOMIC_POSITIONS angstrom
Li 0.597 4.184 1.875
Lu 3.880 4.557 1.846
Lu 1.034 1.215 0.492
Mn -1.860 1.297 0.706
```

=====

Result set for E_form: -61.31 32.58 7.89 kJ per mole of atoms, one per record in the order listed.
Result set for M_tot: 0.22 0.00 2.24 μB/cell, one per record in the order listed.